# FeIr3 (PBE, relaxed)
data_FeIr3
_cell_length_a 8.6426
_cell_length_b 8.6426
_cell_length_c 2.6957
_cell_angle_alpha 90.00
_cell_angle_beta 90.00
_cell_angle_gamma 120.00
_space_group_name_H-M_alt 'R -3 m'
_space_group_IT_number 166
_space_group_name_Hall '-R 3 2"'
loop_
_atom_site_label
_atom_site_fract_x
_atom_site_fract_y
_atom_site_fract_z
Fe1 0.0000 0.0000 0.0000
Ir1 0.0000 0.5000 0.0000
# * total magnetization: 4.4 μB per formula unit
# * energy relative to the elements: 1.42 eV per formula unit